[1]
# VMo PBE relaxed
data_VMo
_cell_length_a 2.580
_cell_length_b 5.027
_cell_length_c 4.835
_cell_angle_alpha 90.00
_cell_angle_beta 90.00
_cell_angle_gamma 90.00
_symmetry_space_group_name_H-M 'P 1'
_symmetry_Int_Tables_number 1
loop_
_symmetry_equiv_pos_as_xyz
'x,y,z'
loop_
_atom_site_label
_atom_site_type_symbol
_atom_site_fract_x
_atom_site_fract_y
_atom_site_fract_z
_atom_site_occupancy
V1 V 0.000 0.500 0.500 1
V2 V 0.500 0.000 0.000 1
Mo1 Mo 0.500 0.500 0.000 1
Mo2 Mo 0.000 0.000 0.500 1
# ΔE_f   0.63 eV per atom
# DOS(E_F)   2.12 states/eV/f.u.
# Space group   Immm
# Total magnetization   0.00 μB per formula unit

***

[2]
# VMo5 PBE relaxed
data_VMo5
_cell_length_a 3.136
_cell_length_b 4.442
_cell_length_c 7.017
_cell_angle_alpha 108.45
_cell_angle_beta 90.00
_cell_angle_gamma 90.00
_symmetry_space_group_name_H-M 'P 1'
_symmetry_Int_Tables_number 1
loop_
_symmetry_equiv_pos_as_xyz
'x,y,z'
loop_
_atom_site_label
_atom_site_type_symbol
_atom_site_fract_x
_atom_site_fract_y
_atom_site_fract_z
_atom_site_occupancy
Mo1 Mo 0.000 0.666 0.331 1
Mo2 Mo 0.000 0.334 0.669 1
Mo3 Mo 0.500 0.500 0.000 1
Mo4 Mo 0.500 0.165 0.330 1
Mo5 Mo 0.500 0.835 0.670 1
V1 V 0.000 0.000 0.000 1
# ΔE_f   -0.08 eV per atom
# DOS(E_F)   3.43 states/eV/f.u.
# Space group   Cmmm
# Total magnetization   0.00 μB per formula unit

***

[3]
# V4Mo PBE relaxed
data_V4Mo
_cell_length_a 4.521
_cell_length_b 4.521
_cell_length_c 4.521
_cell_angle_alpha 90.00
_cell_angle_beta 90.00
_cell_angle_gamma 90.00
_symmetry_space_group_name_H-M 'P 1'
_symmetry_Int_Tables_number 1
loop_
_symmetry_equiv_pos_as_xyz
'x,y,z'
loop_
_atom_site_label
_atom_site_type_symbol
_atom_site_fract_x
_atom_site_fract_y
_atom_site_fract_z
_atom_site_occupancy
Mo1 Mo 0.500 0.500 0.500 1
V1 V 0.000 0.000 0.000 1
V2 V 0.500 0.000 0.500 1
V3 V 0.000 0.500 0.500 1
V4 V 0.500 0.500 0.000 1
# ΔE_f   1.37 eV per atom
# DOS(E_F)   6.66 states/eV/f.u.
# Space group   Pm-3m
# Total magnetization   2.45 μB per formula unit

***

- The lowest DOS(E_F) belongs to which entry?
  VMo